1.
{
  "formula": "Na2Mg2Si",
  "functional": "PBE-GGA",
  "state": "optimized geometry",
  "raw_formation_energy_ev_per_atom": 0.13,
  "space_group": "P4/mbm",
  "lattice_angstrom": [[6.964, 0.000, 0.000], [0.000, 6.964, 0.000], [0.000, 0.000, 5.447]],
  "species": ["Mg", "Mg", "Mg", "Mg", "Na", "Na", "Na", "Na", "Si", "Si"],
  "frac_coords": [[0.652, 0.152, 0.000], [0.152, 0.348, 0.000], [0.848, 0.652, 0.000], [0.348, 0.848, 0.000], [0.676, 0.824, 0.500], [0.176, 0.676, 0.500], [0.824, 0.324, 0.500], [0.324, 0.176, 0.500], [0.000, 0.000, 0.000], [0.500, 0.500, 0.000]]
}


2.
{
  "formula": "Na2MgSi",
  "functional": "PBE-GGA",
  "state": "optimized geometry",
  "raw_formation_energy_ev_per_atom": 0.21,
  "space_group": "I-42d",
  "lattice_angstrom": [[11.569, 0.000, 0.000], [0.000, 11.569, 0.000], [5.785, 5.785, 2.480]],
  "species": ["Na", "Na", "Na", "Na", "Si", "Si", "Mg", "Mg"],
  "frac_coords": [[0.375, 0.134, 0.750], [0.884, 0.625, 0.250], [0.866, 0.125, 0.250], [0.875, 0.116, 0.750], [0.750, 0.250, 0.500], [0.000, 0.000, 0.000], [0.250, 0.750, 0.500], [0.500, 0.500, 0.000]]
}


3.
{
  "formula": "NaMg3Si2",
  "functional": "PBE-GGA",
  "state": "optimized geometry",
  "raw_formation_energy_ev_per_atom": -0.07,
  "space_group": "Immm",
  "lattice_angstrom": [[4.345, 0.000, 1.196], [1.190, 7.081, 4.167], [0.052, 0.109, 8.300]],
  "species": ["Si", "Si", "Si", "Si", "Na", "Na", "Mg", "Mg", "Mg", "Mg", "Mg", "Mg"],
  "frac_coords": [[0.500, 0.854, 0.146], [0.812, 0.688, 0.688], [0.500, 0.146, 0.854], [0.188, 0.312, 0.312], [0.128, 0.872, 0.872], [0.872, 0.128, 0.128], [0.000, 0.675, 0.324], [0.672, 0.125, 0.532], [0.328, 0.875, 0.468], [0.328, 0.468, 0.875], [0.000, 0.325, 0.676], [0.672, 0.532, 0.125]]
}


4.
{
  "formula": "Na2MgSi",
  "functional": "PBE-GGA",
  "state": "optimized geometry",
  "raw_formation_energy_ev_per_atom": 0.25,
  "space_group": "Fm-3m",
  "lattice_angstrom": [[0.891, 2.559, 4.256], [-3.826, 2.113, 2.521], [-1.454, -1.905, 4.441]],
  "species": ["Si", "Na", "Na", "Mg"],
  "frac_coords": [[0.500, 0.500, 0.500], [0.750, 0.750, 0.750], [0.250, 0.250, 0.250], [0.000, 0.000, 0.000]]
}


Number 1: electronic total energy -2.1245 eV/atom, calculated volume 26.42 A^3/atom. Number 2: electronic total energy -2.2050 eV/atom, calculated volume 41.49 A^3/atom. Number 3: electronic total energy -2.8934 eV/atom, calculated volume 21.10 A^3/atom. Number 4: electronic total energy -2.1671 eV/atom, calculated volume 22.71 A^3/atom.